1.
DFT (PBE) results for a relaxed AcYSn crystal.

space group = No. 216
energy of formation = -0.362 eV/atom

Cell lengths 5.4028, 5.4028, 5.4028 Å; angles 60.00, 60.00, 60.00 degrees
Last column: nearest neighbours and their distance in Å.
Fractional positions:
1 Ac 0.0000 0.0000 0.0000  4 Sn 3.31
2 Y 0.5000 0.5000 0.5000  4 Sn 3.31
3 Sn 0.2500 0.2500 0.2500  4 Ac 3.31, 4 Y 3.31

2.
DFT (PBE) results for a relaxed AcY2Sn crystal.

space group = No. 123
energy of formation = -0.310 eV/atom

Cell lengths 3.8777, 3.8777, 8.6093 Å; angles 90.00, 90.00, 90.00 degrees
Last column: nearest neighbours and their distance in Å.
Fractional positions:
1 Ac 0.0000 0.0000 0.0000  8 Y 3.75, 4 Ac 3.88
2 Y 0.5000 0.5000 0.2963  4 Sn 3.25, 1 Y 3.51
3 Y 0.5000 0.5000 0.7037  4 Sn 3.25, 1 Y 3.51
4 Sn 0.0000 0.0000 0.5000  8 Y 3.25

3.
DFT (PBE) results for a relaxed Ac2YSn crystal.

space group = No. 166
energy of formation = 0.133 eV/atom

Cell lengths 12.9108, 12.9108, 12.9108 Å; angles 16.92, 16.92, 16.92 degrees
Last column: nearest neighbours and their distance in Å.
Fractional positions:
1 Ac 0.0879 0.0879 0.0879  1 Sn 3.35, 3 Y 3.72
2 Ac 0.9121 0.9121 0.9121  1 Sn 3.35, 3 Y 3.72
3 Y 0.5000 0.5000 0.5000  6 Ac 3.72, 6 Y 3.80
4 Sn 0.0000 0.0000 0.0000  2 Ac 3.35

4.
DFT (PBE) results for a relaxed AcYSn crystal.

space group = No. 187
energy of formation = -0.410 eV/atom

Cell lengths 5.2026, 5.2026, 4.5168 Å; angles 90.00, 90.00, 120.00 degrees
Last column: nearest neighbours and their distance in Å.
Fractional positions:
1 Ac 0.0000 0.0000 0.0000  6 Sn 3.76, 6 Y 3.76
2 Y 0.6667 0.3333 0.5000  3 Sn 3.00
3 Sn 0.3333 0.6667 0.5000  3 Y 3.00

5.
DFT (PBE) results for a relaxed AcY2Sn2 crystal.

space group = No. 12
energy of formation = -0.486 eV/atom

Cell lengths 6.9549, 6.9549, 6.1108 Å; angles 101.72, 101.72, 34.91 degrees
Last column: nearest neighbours and their distance in Å.
Fractional positions:
1 Ac 0.0000 0.0000 0.0000  4 Sn 3.45
2 Y 0.3629 0.3629 0.4255  4 Sn 3.07-3.34
3 Y 0.6371 0.6371 0.5745  4 Sn 3.07-3.34
4 Sn 0.2882 0.2882 0.8674  2 Sn 2.95, 3 Y 3.07-3.17
5 Sn 0.7118 0.7118 0.1326  2 Sn 2.95, 3 Y 3.07-3.17

6.
DFT (PBE) results for a relaxed Ac2YSn crystal.

space group = No. 123
energy of formation = -0.284 eV/atom

Cell lengths 4.4520, 4.4520, 7.2977 Å; angles 90.00, 90.00, 90.00 degrees
Last column: nearest neighbours and their distance in Å.
Fractional positions:
1 Ac 0.0000 0.0000 0.2304  1 Ac 3.36, 4 Sn 3.57, 4 Y 3.71
2 Ac 0.0000 0.0000 0.7696  1 Ac 3.36, 4 Sn 3.57, 4 Y 3.71
3 Y 0.5000 0.5000 0.5000  2 Sn 3.65, 8 Ac 3.71
4 Sn 0.5000 0.5000 0.0000  8 Ac 3.57, 2 Y 3.65

7.
DFT (PBE) results for a relaxed Ac5YSn6 crystal.

space group = No. 12
energy of formation = -0.606 eV/atom

Cell lengths 10.0569, 10.0569, 6.0986 Å; angles 107.61, 107.61, 123.52 degrees
Last column: nearest neighbours and their distance in Å.
Fractional positions:
1 Ac 0.0000 0.0000 0.0000  8 Sn 3.52-3.75, 2 Y 3.66
2 Ac 0.1539 0.8461 0.5000  8 Sn 3.48-3.69, 2 Ac 3.70
3 Ac 0.3168 0.6832 0.0000  8 Sn 3.45-3.57, 2 Ac 3.70
4 Ac 0.6832 0.3168 0.0000  8 Sn 3.45-3.57, 2 Ac 3.70
5 Ac 0.8461 0.1539 0.5000  8 Sn 3.48-3.69, 2 Ac 3.70
6 Y 0.5000 0.5000 0.5000  8 Sn 3.26-3.40
7 Sn 0.1213 0.4426 0.2819  1 Sn 3.19, 1 Y 3.26, 4 Ac 3.45-3.52
8 Sn 0.2958 0.2958 0.7965  1 Sn 2.99
9 Sn 0.4426 0.1213 0.2819  1 Sn 3.19, 1 Y 3.26, 4 Ac 3.45-3.52
10 Sn 0.5574 0.8787 0.7181  1 Sn 3.19, 1 Y 3.26, 4 Ac 3.45-3.52
11 Sn 0.7042 0.7042 0.2035  1 Sn 2.99
12 Sn 0.8787 0.5574 0.7181  1 Sn 3.19, 1 Y 3.26, 4 Ac 3.45-3.52

8.
DFT (PBE) results for a relaxed AcY2Sn crystal.

space group = No. 225
energy of formation = -0.178 eV/atom

Cell lengths 5.5663, 5.5663, 5.5663 Å; angles 60.00, 60.00, 60.00 degrees
Last column: nearest neighbours and their distance in Å.
Fractional positions:
1 Ac 0.0000 0.0000 0.0000  8 Y 3.41
2 Y 0.2500 0.2500 0.2500  4 Ac 3.41, 4 Sn 3.41
3 Y 0.7500 0.7500 0.7500  4 Ac 3.41, 4 Sn 3.41
4 Sn 0.5000 0.5000 0.5000  8 Y 3.41

9.
DFT (PBE) results for a relaxed AcY2Sn crystal.

space group = No. 123
energy of formation = -0.339 eV/atom

Cell lengths 5.0509, 5.0509, 4.9194 Å; angles 90.00, 90.00, 90.00 degrees
Last column: nearest neighbours and their distance in Å.
Fractional positions:
1 Ac 0.0000 0.0000 0.0000  8 Y 3.53, 4 Sn 3.57
2 Y 0.0000 0.5000 0.5000  4 Ac 3.53, 4 Sn 3.53, 4 Y 3.57
3 Y 0.5000 0.0000 0.5000  4 Ac 3.53, 4 Sn 3.53, 4 Y 3.57
4 Sn 0.5000 0.5000 0.0000  8 Y 3.53, 4 Ac 3.57

10.
DFT (PBE) results for a relaxed Ac2YSn crystal.

space group = No. 225
energy of formation = -0.156 eV/atom

Cell lengths 5.8683, 5.8683, 5.8683 Å; angles 60.00, 60.00, 60.00 degrees
Last column: nearest neighbours and their distance in Å.
Fractional positions:
1 Ac 0.2500 0.2500 0.2500  4 Sn 3.59, 4 Y 3.59
2 Ac 0.7500 0.7500 0.7500  4 Sn 3.59, 4 Y 3.59
3 Y 0.0000 0.0000 0.0000  8 Ac 3.59
4 Sn 0.5000 0.5000 0.5000  8 Ac 3.59

11.
DFT (PBE) results for a relaxed Ac4YSn4 crystal.

space group = No. 86
energy of formation = -0.517 eV/atom

Cell lengths 9.8837, 9.8837, 6.8688 Å; angles 90.00, 90.00, 90.00 degrees
Last column: nearest neighbours and their distance in Å.
Fractional positions:
1 Ac 0.0404 0.6741 0.1099  4 Sn 3.30-3.56
2 Ac 0.1741 0.9596 0.6099  4 Sn 3.30-3.56
3 Ac 0.3259 0.5404 0.6099  4 Sn 3.30-3.56
4 Ac 0.4596 0.8259 0.1099  4 Sn 3.30-3.56
5 Ac 0.5404 0.1741 0.8901  4 Sn 3.30-3.56
6 Ac 0.6741 0.4596 0.3901  4 Sn 3.30-3.56
7 Ac 0.8259 0.0404 0.3901  4 Sn 3.30-3.56
8 Ac 0.9596 0.3259 0.8901  4 Sn 3.30-3.56
9 Y 0.2500 0.2500 0.2500  4 Sn 2.95
10 Y 0.7500 0.7500 0.7500  4 Sn 2.95
11 Sn 0.0079 0.6407 0.6001  1 Y 2.95, 1 Sn 3.11, 1 Ac 3.30
12 Sn 0.1407 0.9921 0.1001  1 Y 2.95, 1 Sn 3.11, 1 Ac 3.30
13 Sn 0.3593 0.5079 0.1001  1 Y 2.95, 1 Sn 3.11, 1 Ac 3.30
14 Sn 0.4921 0.8593 0.6001  1 Y 2.95, 1 Sn 3.11, 1 Ac 3.30
15 Sn 0.5079 0.1407 0.3999  1 Y 2.95, 1 Sn 3.11, 1 Ac 3.30
16 Sn 0.6407 0.4921 0.8999  1 Y 2.95, 1 Sn 3.11, 1 Ac 3.30
17 Sn 0.8593 0.0079 0.8999  1 Y 2.95, 1 Sn 3.11, 1 Ac 3.30
18 Sn 0.9921 0.3593 0.3999  1 Y 2.95, 1 Sn 3.11, 1 Ac 3.30

12.
DFT (PBE) results for a relaxed AcYSn2 crystal.

space group = No. 123
energy of formation = -0.569 eV/atom

Cell lengths 5.2022, 5.2022, 4.5318 Å; angles 90.00, 90.00, 90.00 degrees
Last column: nearest neighbours and their distance in Å.
Fractional positions:
1 Ac 0.0000 0.0000 0.0000  8 Sn 3.45, 4 Y 3.68
2 Y 0.5000 0.5000 0.0000  8 Sn 3.45, 4 Ac 3.68
3 Sn 0.0000 0.5000 0.5000  4 Ac 3.45, 4 Y 3.45, 4 Sn 3.68
4 Sn 0.5000 0.0000 0.5000  4 Ac 3.45, 4 Y 3.45, 4 Sn 3.68

13.
DFT (PBE) results for a relaxed AcYSn3 crystal.

space group = No. 63
energy of formation = -0.598 eV/atom

Cell lengths 15.4993, 15.4993, 4.4608 Å; angles 90.00, 90.00, 163.17 degrees
Last column: nearest neighbours and their distance in Å.
Fractional positions:
1 Ac 0.0787 0.9213 0.7500  8 Sn 3.51-3.53
2 Ac 0.9213 0.0787 0.2500  8 Sn 3.51-3.53
3 Y 0.2053 0.7947 0.2500  7 Sn 3.10-3.26
4 Y 0.7947 0.2053 0.7500  7 Sn 3.10-3.26
5 Sn 0.3064 0.6936 0.2500  2 Sn 2.98, 5 Y 3.10-3.20
6 Sn 0.3711 0.6289 0.7500  3 Sn 2.98-3.03, 2 Y 3.26
7 Sn 0.4698 0.5302 0.7500  3 Sn 2.90-3.03
8 Sn 0.5302 0.4698 0.2500  3 Sn 2.90-3.03
9 Sn 0.6289 0.3711 0.2500  3 Sn 2.98-3.03, 2 Y 3.26
10 Sn 0.6936 0.3064 0.7500  2 Sn 2.98, 5 Y 3.10-3.20

Number 1: magnetic moment 0.00 μB/cell, total energy -5.221 eV per atom, DOS(E_F) 3.669 states/eV per cell. Number 2: magnetic moment 0.00 μB/cell, total energy -5.570 eV per atom, DOS(E_F) 5.744 states/eV per cell. Number 3: magnetic moment 0.00 μB/cell, total energy -4.538 eV per atom, DOS(E_F) 4.635 states/eV per cell. Number 4: magnetic moment 0.00 μB/cell, total energy -5.269 eV per atom, DOS(E_F) 1.195 states/eV per cell. Number 5: magnetic moment 0.00 μB/cell, total energy -5.494 eV per atom, DOS(E_F) 5.331 states/eV per cell. Number 6: magnetic moment 0.00 μB/cell, total energy -4.954 eV per atom, DOS(E_F) 4.484 states/eV per cell. Number 7: magnetic moment 0.08 μB/cell, total energy -4.858 eV per atom, DOS(E_F) 12.421 states/eV per cell. Number 8: magnetic moment 0.00 μB/cell, total energy -5.438 eV per atom, DOS(E_F) 6.943 states/eV per cell. Number 9: magnetic moment 0.23 μB/cell, total energy -5.599 eV per atom, DOS(E_F) 6.396 states/eV per cell. Number 10: magnetic moment 0.00 μB/cell, total energy -4.827 eV per atom, DOS(E_F) 5.013 states/eV per cell. Number 11: magnetic moment 0.00 μB/cell, total energy -4.840 eV per atom, DOS(E_F) 16.832 states/eV per cell. Number 12: magnetic moment 0.00 μB/cell, total energy -5.214 eV per atom, DOS(E_F) 3.623 states/eV per cell. Number 13: magnetic moment 0.00 μB/cell, total energy -5.114 eV per atom, DOS(E_F) 7.114 states/eV per cell.